VASP calculation (PBE) on a geometry-optimized Pr4SnI structure.

Unit cell a=5.8517 b=8.1040 c=10.0486 alpha=114.96 beta=106.97 gamma=89.97
Last column: nearest neighbours and their distance in Å.
Fractional positions:
Pr 0.5715 0.4180 0.6447  1 I 3.04, 1 Sn 3.29
Pr 0.6810 0.0331 0.8606  3 Sn 3.13-3.37, 3 Pr 3.35-3.47, 1 I 3.36
Pr 0.0729 0.9179 0.6445  1 I 3.04, 1 Sn 3.29
Pr 0.1794 0.5337 0.8607  3 Sn 3.13-3.37, 3 Pr 3.35-3.47, 1 I 3.35
Pr 0.4285 0.5820 0.3553  1 I 3.04, 1 Sn 3.29
Pr 0.9271 0.0821 0.3555  1 I 3.04, 1 Sn 3.29
Pr 0.8206 0.4663 0.1393  3 Sn 3.13-3.37, 3 Pr 3.35-3.47, 1 I 3.35
Pr 0.3190 0.9669 0.1394  3 Sn 3.13-3.37, 3 Pr 3.35-3.47, 1 I 3.36
Sn 0.7490 0.7499 0.0002  8 Pr 3.13-3.37
Sn 0.2510 0.2501 0.9998  8 Pr 3.13-3.37
I 0.0000 0.5000 0.5000  4 Pr 3.04-3.35
I 0.5000 0.0000 0.5000  4 Pr 3.04-3.36

Results
density = 6.6 g cm⁻³
symmetry = C2/c, No. 15
E_form (uncorrected) = -2.05 eV per formula unit

---

VASP calculation (PBE) on a geometry-optimized Pr3SnI structure.

Unit cell a=6.5247 b=9.3692 c=12.3163 alpha=119.93 beta=90.00 gamma=90.00
Last column: nearest neighbours and their distance in Å.
Fractional positions:
Pr 0.7809 0.4419 0.8655  4 Sn 3.30-3.48, 1 I 3.35, 1 Pr 3.54
Pr 0.2191 0.5581 0.1345  4 Sn 3.30-3.48, 1 I 3.35, 1 Pr 3.54
Pr 0.8520 0.1499 0.9646  3 I 3.19-3.49, 2 Sn 3.21-3.25, 2 Pr 3.54-3.56
Pr 0.2809 0.0581 0.6345  4 Sn 3.30-3.48, 1 I 3.35, 1 Pr 3.54
Pr 0.9040 0.2532 0.2838  3 I 3.24-3.34, 3 Pr 3.36-3.56, 1 Sn 3.51
Pr 0.3520 0.3501 0.5354  3 I 3.19-3.49, 2 Sn 3.21-3.25, 2 Pr 3.54-3.56
Pr 0.7191 0.9419 0.3655  4 Sn 3.30-3.48, 1 I 3.35, 1 Pr 3.54
Pr 0.4040 0.2468 0.2162  3 I 3.24-3.34, 3 Pr 3.36-3.56, 1 Sn 3.51
Pr 0.5960 0.7532 0.7838  3 I 3.24-3.34, 3 Pr 3.36-3.56, 1 Sn 3.51
Pr 0.6480 0.6499 0.4646  3 I 3.19-3.49, 2 Sn 3.21-3.25, 2 Pr 3.54-3.56
Pr 0.0960 0.7468 0.7162  3 I 3.24-3.34, 3 Pr 3.36-3.56, 1 Sn 3.51
Pr 0.1480 0.8501 0.0354  3 I 3.19-3.49, 2 Sn 3.21-3.25, 2 Pr 3.54-3.56
Sn 0.7128 0.5166 0.1678  7 Pr 3.21-3.51
Sn 0.2128 0.9834 0.3322  7 Pr 3.21-3.51
Sn 0.2872 0.4834 0.8322  7 Pr 3.21-3.51
Sn 0.7872 0.0166 0.6678  7 Pr 3.21-3.51
I 0.6663 0.9039 0.0816  7 Pr 3.19-3.49
I 0.8337 0.4039 0.5816  7 Pr 3.19-3.49
I 0.3337 0.0961 0.9184  7 Pr 3.19-3.49
I 0.1663 0.5961 0.4184  7 Pr 3.19-3.49

Results
density = 6.8 g cm⁻³
symmetry = P2_1/c, No. 14
E_form (uncorrected) = -2.94 eV per formula unit

---

VASP calculation (PBE) on a geometry-optimized PrSn2I8 structure.

Unit cell a=8.1425 b=9.0326 c=9.0326 alpha=80.18 beta=78.16 gamma=78.16
Last column: nearest neighbours and their distance in Å.
Fractional positions:
I 0.8440 0.6174 0.6174  1 Sn 2.81
I 0.7299 0.2127 0.2127  1 Sn 3.14, 1 Pr 3.16
I 0.1560 0.3826 0.3826  1 Sn 2.81
I 0.2129 0.2672 0.8933  1 Sn 3.02, 1 Pr 3.16
I 0.2701 0.7873 0.7873  1 Sn 3.14, 1 Pr 3.16
I 0.7871 0.7328 0.1067  1 Sn 3.02, 1 Pr 3.16
I 0.2129 0.8933 0.2672  1 Sn 3.02, 1 Pr 3.16
I 0.7871 0.1067 0.7328  1 Sn 3.02, 1 Pr 3.16
Sn 0.6393 0.8166 0.8166  4 I 2.81-3.14
Sn 0.3607 0.1834 0.1834  4 I 2.81-3.14
Pr 0.0000 0.0000 0.0000  6 I 3.16

Results
density = 3.7 g cm⁻³
symmetry = C2/m, No. 12
E_form (uncorrected) = -7.72 eV per formula unit

---

VASP calculation (PBE) on a geometry-optimized Pr4SnTe2I structure.

Unit cell a=4.5545 b=7.8439 c=7.9922 alpha=70.81 beta=90.00 gamma=90.00
Last column: nearest neighbours and their distance in Å.
Fractional positions:
Te 0.0000 0.0000 0.0000  6 Pr 3.11-3.13
Te 0.5000 0.0000 0.5000  6 Pr 3.30-3.31
Pr 0.5000 0.2368 0.7753  3 Te 3.11-3.31, 1 Sn 3.15, 2 I 3.36
Pr 0.0000 0.2523 0.2331  3 Te 3.13-3.30, 2 Sn 3.17, 1 I 3.32
Pr 0.0000 0.7477 0.7669  3 Te 3.13-3.30, 2 Sn 3.17, 1 I 3.32
Pr 0.5000 0.7632 0.2247  3 Te 3.11-3.31, 1 Sn 3.15, 2 I 3.36
Sn 0.5000 0.5000 0.0000  6 Pr 3.15-3.17
I 0.0000 0.5000 0.5000  6 Pr 3.32-3.36

Results
density = 6.6 g cm⁻³
symmetry = P2/m, No. 10
E_form (uncorrected) = -9.31 eV per formula unit

---

VASP calculation (PBE) on a geometry-optimized PrTlSnI6 structure.

Unit cell a=8.1446 b=8.1446 c=15.2651 alpha=90.00 beta=90.00 gamma=120.00
Last column: nearest neighbours and their distance in Å.
Fractional positions:
Pr 0.3333 0.6667 0.7500  6 I 3.16
Pr 0.6667 0.3333 0.2500  6 I 3.16
Tl 0.0000 0.0000 0.5000  6 I 3.55
Tl 0.0000 0.0000 0.0000  6 I 3.55
I 0.3585 0.3623 0.8688  1 Pr 3.16, 1 Sn 3.20
I 0.6415 0.6377 0.1312  1 Pr 3.16, 1 Sn 3.20
I 0.9962 0.6377 0.3688  1 Pr 3.16, 1 Sn 3.20
I 0.9962 0.3585 0.1312  1 Pr 3.16, 1 Sn 3.20
I 0.6377 0.6415 0.6312  1 Pr 3.16, 1 Sn 3.20
I 0.0038 0.3623 0.6312  1 Pr 3.16, 1 Sn 3.20
I 0.6415 0.0038 0.3688  1 Pr 3.16, 1 Sn 3.20
I 0.3623 0.3585 0.3688  1 Pr 3.16, 1 Sn 3.20
I 0.0038 0.6415 0.8688  1 Pr 3.16, 1 Sn 3.20
I 0.6377 0.9962 0.8688  1 Pr 3.16, 1 Sn 3.20
I 0.3585 0.9962 0.6312  1 Pr 3.16, 1 Sn 3.20
I 0.3623 0.0038 0.1312  1 Pr 3.16, 1 Sn 3.20
Sn 0.3333 0.6667 0.2500  6 I 3.20
Sn 0.6667 0.3333 0.7500  6 I 3.20

Results
density = 4.6 g cm⁻³
symmetry = P-31c, No. 163
E_form (uncorrected) = -8.53 eV per formula unit

---

VASP calculation (PBE) on a geometry-optimized SrPrI5 structure.

Unit cell a=4.6223 b=9.5238 c=15.2116 alpha=94.27 beta=90.00 gamma=90.00
Last column: nearest neighbours and their distance in Å.
Fractional positions:
Sr 0.7500 0.0876 0.1400  7 I 3.31-3.55
Sr 0.2500 0.9124 0.8600  7 I 3.31-3.55
I 0.2500 0.6765 0.5156  3 Pr 3.27-3.43
I 0.7500 0.6198 0.2956  2 Pr 3.16
I 0.7500 0.1455 0.9255  3 Sr 3.31-3.35
I 0.7500 0.9191 0.6834  1 Pr 3.18, 2 Sr 3.55
I 0.2500 0.8545 0.0745  3 Sr 3.31-3.35
I 0.7500 0.3235 0.4844  3 Pr 3.27-3.43
I 0.2500 0.3530 0.1376  1 Pr 3.21, 2 Sr 3.43
I 0.2500 0.3802 0.7044  2 Pr 3.16
I 0.7500 0.6470 0.8624  1 Pr 3.21, 2 Sr 3.43
I 0.2500 0.0809 0.3166  1 Pr 3.18, 2 Sr 3.55
Pr 0.7500 0.5848 0.6520  7 I 3.16-3.43
Pr 0.2500 0.4152 0.3480  7 I 3.16-3.43

Results
density = 4.3 g cm⁻³
symmetry = P2_1/m, No. 11
E_form (uncorrected) = -10.61 eV per formula unit

---

VASP calculation (PBE) on a geometry-optimized Pr2TaI structure.

Unit cell a=3.5063 b=3.5063 c=11.3345 alpha=81.10 beta=81.10 gamma=60.00
Last column: nearest neighbours and their distance in Å.
Fractional positions:
Pr 0.9118 0.9118 0.2646  1 Ta 2.95
Pr 0.0882 0.0882 0.7354  1 Ta 2.95
I 0.5000 0.5000 0.5000  6 Pr 3.32, 6 I 3.51
Ta 0.0000 0.0000 0.0000  2 Pr 2.95

Results
density = 8.2 g cm⁻³
symmetry = R-3m, No. 166
E_form (uncorrected) = 1.80 eV per formula unit

---

VASP calculation (PBE) on a geometry-optimized Tb2PrI structure.

Unit cell a=3.6233 b=3.6233 c=12.0211 alpha=81.33 beta=81.33 gamma=60.00
Last column: nearest neighbours and their distance in Å.
Fractional positions:
Tb 0.0964 0.0964 0.7107  3 I 3.26, 1 Pr 3.42, 6 Tb 3.62
Tb 0.9036 0.9036 0.2893  3 I 3.26, 1 Pr 3.42, 6 Tb 3.62
Pr 0.0000 0.0000 0.0000  2 Tb 3.42, 6 Pr 3.62
I 0.5000 0.5000 0.5000  6 Tb 3.26, 6 I 3.62

Results
density = 7.2 g cm⁻³
energy relative to the lowest polymorph listed for this composition = 258 meV per atom
symmetry = R-3m, No. 166
E_form (uncorrected) = -0.28 eV per formula unit